Below is crystalline PRuAu at its relaxed geometry, with properties calculated at the PBE level.

## Properties
Total magnetic moment   0.000 μB/atom
Fermi-level density of states   2.3 states/eV/cell
Energy above the most stable polymorph in this dataset   156 meV/atom
DFT formation energy   0.0638 eV per atom
Calculated total energy   -5.924 eV/atom

a b c (Å): 4.0665 4.0665 4.0665
angles (deg): 60.00 60.00 60.00
Closest atoms and distances in Å follow each position.
Fractional coordinates of all 3 atoms:
P: 0.2500 0.2500 0.2500  4 Ru 2.49, 4 Au 2.49
Au: 0.5000 0.5000 0.5000  4 P 2.49
Ru: 0.0000 0.0000 0.0000  4 P 2.49